1.
AcYHo6Tm2 PBE-GGA optimized geometry; volume = 657 Å³/cell; space group = C2/c; ΔE_f = 0.1301 eV per atom
1.0
9.042 -1.956 -2.030
1.000 8.568 -2.028
1.000 -2.345 8.487
Ac Y Tm Ho
2 2 4 12
direct
0.250 0.968 0.032
0.750 0.032 0.968
0.750 0.588 0.412
0.250 0.412 0.588
0.049 0.317 0.203
0.549 0.203 0.317
0.451 0.797 0.683
0.951 0.683 0.797
0.321 0.986 0.447
0.821 0.447 0.986
0.384 0.512 0.288
0.557 0.752 0.127
0.116 0.712 0.488
0.616 0.488 0.712
0.179 0.553 0.014
0.057 0.127 0.752
0.943 0.873 0.248
0.443 0.248 0.873
0.884 0.288 0.512
0.679 0.014 0.553

---

2.
Th2Ga2Ru2C PBE-GGA optimized geometry; volume = 134 Å³/cell; space group = C2/m; ΔE_f = -0.5194 eV per atom
1.0
-0.522 2.721 3.284
-5.721 -0.207 2.074
0.056 -2.912 5.233
C Th Ga Ru
1 2 2 2
direct
0.000 0.000 0.000
0.554 0.181 0.712
0.446 0.819 0.288
0.158 0.387 0.297
0.842 0.613 0.703
0.200 0.701 0.899
0.800 0.299 0.101

---

3.
Fe2CuCl PBE-GGA optimized geometry; volume = 61 Å³/cell; space group = Pm; excess energy over the best structure of this formula in the dataset = 0.0 meV/atom; energy relative to the elements, uncorrected = 0.17 eV/atom
1.0
2.984 0.000 0.000
0.000 3.140 -0.063
0.000 0.163 6.490
Cu Fe Cl
1 2 1
direct
0.500 0.506 0.798
0.000 0.003 0.011
0.500 0.502 0.196
0.000 0.488 0.494

---

4.
NdMgB12 PBE-GGA optimized geometry; volume = 140 Å³/cell; space group = P4/mmm; ΔE_f = -0.2345 eV per atom
1.0
-0.326 -3.826 1.491
2.235 -1.420 -3.155
6.911 1.123 4.391
B Mg Nd
12 1 1
direct
0.500 0.500 0.100
0.200 0.500 0.751
0.500 0.500 0.400
0.500 0.800 0.751
0.500 0.200 0.751
0.200 0.500 0.249
0.500 0.500 0.600
0.800 0.500 0.751
0.500 0.200 0.249
0.500 0.500 0.900
0.800 0.500 0.249
0.500 0.800 0.249
0.000 0.000 0.000
0.000 0.000 0.500

---

5.
LaNb2V PBE-GGA optimized geometry; volume = 78 Å³/cell; space group = Fm-3m; excess energy over the best structure of this formula in the dataset = 0.0 meV/atom; ΔE_f = 0.4906 eV per atom
1.0
0.000 3.393 3.393
3.393 0.000 3.393
3.393 3.393 0.000
Nb V La
2 1 1
direct
0.750 0.750 0.750
0.250 0.250 0.250
0.000 0.000 0.000
0.500 0.500 0.500

---

6.
YTaRe2 PBE-GGA optimized geometry; volume = 74 Å³/cell; space group = R-3m; ΔE_f = 0.3489 eV per atom
1.0
9.038 -0.001 0.000
8.503 3.065 0.000
8.503 1.485 2.681
Y Re Ta
1 2 1
direct
0.750 0.750 0.750
0.508 0.508 0.508
0.992 0.992 0.992
0.250 0.250 0.250